1.
# GdMgRh2, optimized geometry, DFT PBE
data_GdMgRh2
_chemical_formula_sum 'Gd1 Mg1 Rh2'
_space_group_name_H-M_alt 'P 4/m m m'
_space_group_IT_number 123
_space_group_name_Hall '-P 4 2'
_cell_length_a 3.3304
_cell_length_b 3.3304
_cell_length_c 6.4664
_cell_angle_alpha 90.00
_cell_angle_beta 90.00
_cell_angle_gamma 90.00
loop_
_atom_site_label
_atom_site_type_symbol
_atom_site_fract_x
_atom_site_fract_y
_atom_site_fract_z
_atom_site_occupancy
Gd1 Gd 0.0000 0.0000 0.0000 1
Mg1 Mg 0.0000 0.0000 0.5000 1
Rh1 Rh 0.5000 0.5000 0.2694 1
# Formation energy from the elements in meV per atom: -647

2.
# GdMgScRh, optimized geometry, DFT PBE
data_GdMgScRh
_chemical_formula_sum 'Gd4 Mg4 Sc4 Rh4'
_space_group_name_H-M_alt 'F -4 3 m'
_space_group_IT_number 216
_space_group_name_Hall 'F -4 2 3'
_cell_length_a 6.9836
_cell_length_b 6.9836
_cell_length_c 6.9836
_cell_angle_alpha 90.00
_cell_angle_beta 90.00
_cell_angle_gamma 90.00
loop_
_atom_site_label
_atom_site_type_symbol
_atom_site_fract_x
_atom_site_fract_y
_atom_site_fract_z
_atom_site_occupancy
Gd1 Gd 0.0000 0.0000 0.0000 1
Mg1 Mg 0.2500 0.2500 0.7500 1
Sc1 Sc 0.0000 0.0000 0.5000 1
Rh1 Rh 0.2500 0.2500 0.2500 1
# Formation energy from the elements in meV per atom: -392

3.
# SmGdMgRh, optimized geometry, DFT PBE
data_SmGdMgRh
_chemical_formula_sum 'Sm4 Gd4 Mg4 Rh4'
_space_group_name_H-M_alt 'F -4 3 m'
_space_group_IT_number 216
_space_group_name_Hall 'F -4 2 3'
_cell_length_a 7.2542
_cell_length_b 7.2542
_cell_length_c 7.2542
_cell_angle_alpha 90.00
_cell_angle_beta 90.00
_cell_angle_gamma 90.00
loop_
_atom_site_label
_atom_site_type_symbol
_atom_site_fract_x
_atom_site_fract_y
_atom_site_fract_z
_atom_site_occupancy
Sm1 Sm 0.0000 0.0000 0.0000 1
Gd1 Gd 0.0000 0.0000 0.5000 1
Mg1 Mg 0.2500 0.2500 0.7500 1
Rh1 Rh 0.2500 0.2500 0.2500 1
# Formation energy from the elements in meV per atom: -356

4.
# GdMgTlRh, optimized geometry, DFT PBE
data_GdMgTlRh
_chemical_formula_sum 'Gd4 Mg4 Tl4 Rh4'
_space_group_name_H-M_alt 'F -4 3 m'
_space_group_IT_number 216
_space_group_name_Hall 'F -4 2 3'
_cell_length_a 7.0201
_cell_length_b 7.0201
_cell_length_c 7.0201
_cell_angle_alpha 90.00
_cell_angle_beta 90.00
_cell_angle_gamma 90.00
loop_
_atom_site_label
_atom_site_type_symbol
_atom_site_fract_x
_atom_site_fract_y
_atom_site_fract_z
_atom_site_occupancy
Gd1 Gd 0.0000 0.0000 0.0000 1
Mg1 Mg 0.0000 0.0000 0.5000 1
Tl1 Tl 0.2500 0.2500 0.2500 1
Rh1 Rh 0.2500 0.2500 0.7500 1
# Formation energy from the elements in meV per atom: -339

5.
# GdTmMgRh, optimized geometry, DFT PBE
data_GdTmMgRh
_chemical_formula_sum 'Gd4 Tm4 Mg4 Rh4'
_space_group_name_H-M_alt 'F -4 3 m'
_space_group_IT_number 216
_space_group_name_Hall 'F -4 2 3'
_cell_length_a 7.1297
_cell_length_b 7.1297
_cell_length_c 7.1297
_cell_angle_alpha 90.00
_cell_angle_beta 90.00
_cell_angle_gamma 90.00
loop_
_atom_site_label
_atom_site_type_symbol
_atom_site_fract_x
_atom_site_fract_y
_atom_site_fract_z
_atom_site_occupancy
Gd1 Gd 0.0000 0.0000 0.0000 1
Tm1 Tm 0.0000 0.0000 0.5000 1
Mg1 Mg 0.2500 0.2500 0.7500 1
Rh1 Rh 0.2500 0.2500 0.2500 1
# Formation energy from the elements in meV per atom: -410

6.
# GdMgZnRh, optimized geometry, DFT PBE
data_GdMgZnRh
_chemical_formula_sum 'Gd4 Mg4 Zn4 Rh4'
_space_group_name_H-M_alt 'F -4 3 m'
_space_group_IT_number 216
_space_group_name_Hall 'F -4 2 3'
_cell_length_a 6.7631
_cell_length_b 6.7631
_cell_length_c 6.7631
_cell_angle_alpha 90.00
_cell_angle_beta 90.00
_cell_angle_gamma 90.00
loop_
_atom_site_label
_atom_site_type_symbol
_atom_site_fract_x
_atom_site_fract_y
_atom_site_fract_z
_atom_site_occupancy
Gd1 Gd 0.0000 0.0000 0.0000 1
Mg1 Mg 0.0000 0.0000 0.5000 1
Zn1 Zn 0.2500 0.2500 0.7500 1
Rh1 Rh 0.2500 0.2500 0.2500 1
# Formation energy from the elements in meV per atom: -432

7.
# GdMg2Ru, optimized geometry, DFT PBE
data_GdMg2Ru
_chemical_formula_sum 'Gd4 Mg8 Ru4'
_space_group_name_H-M_alt 'F m -3 m'
_space_group_IT_number 225
_space_group_name_Hall '-F 4 2 3'
_cell_length_a 6.8336
_cell_length_b 6.8336
_cell_length_c 6.8336
_cell_angle_alpha 90.00
_cell_angle_beta 90.00
_cell_angle_gamma 90.00
loop_
_atom_site_label
_atom_site_type_symbol
_atom_site_fract_x
_atom_site_fract_y
_atom_site_fract_z
_atom_site_occupancy
Gd1 Gd 0.0000 0.0000 0.0000 1
Mg1 Mg 0.2500 0.2500 0.2500 1
Ru1 Ru 0.0000 0.0000 0.5000 1
# Formation energy from the elements in meV per atom: 82

8.
# Gd3MgRu, optimized geometry, DFT PBE
data_Gd3MgRu
_chemical_formula_sum 'Gd3 Mg1 Ru1'
_space_group_name_H-M_alt 'P m -3 m'
_space_group_IT_number 221
_space_group_name_Hall '-P 4 2 3'
_cell_length_a 5.3904
_cell_length_b 5.3904
_cell_length_c 5.3904
_cell_angle_alpha 90.00
_cell_angle_beta 90.00
_cell_angle_gamma 90.00
loop_
_atom_site_label
_atom_site_type_symbol
_atom_site_fract_x
_atom_site_fract_y
_atom_site_fract_z
_atom_site_occupancy
Gd1 Gd 0.0000 0.0000 0.5000 1
Mg1 Mg 0.5000 0.5000 0.5000 1
Ru1 Ru 0.0000 0.0000 0.0000 1
# Formation energy from the elements in meV per atom: -100

9.
# GdMgRu, optimized geometry, DFT PBE
data_GdMgRu
_chemical_formula_sum 'Gd1 Mg1 Ru1'
_space_group_name_H-M_alt 'P 3 m 1'
_space_group_IT_number 156
_space_group_name_Hall 'P 3 -2"'
_cell_length_a 4.5514
_cell_length_b 4.5514
_cell_length_c 3.5173
_cell_angle_alpha 90.00
_cell_angle_beta 90.00
_cell_angle_gamma 120.00
loop_
_atom_site_label
_atom_site_type_symbol
_atom_site_fract_x
_atom_site_fract_y
_atom_site_fract_z
_atom_site_occupancy
Gd1 Gd 0.0000 0.0000 0.0000 1
Mg1 Mg 0.3333 0.6667 0.4988 1
Ru1 Ru 0.6667 0.3333 0.5048 1
# Formation energy from the elements in meV per atom: -44

10.
# GdMgRu2, optimized geometry, DFT PBE
data_GdMgRu2
_chemical_formula_sum 'Gd1 Mg1 Ru2'
_space_group_name_H-M_alt 'P 4/m m m'
_space_group_IT_number 123
_space_group_name_Hall '-P 4 2'
_cell_length_a 3.3916
_cell_length_b 3.3916
_cell_length_c 6.2702
_cell_angle_alpha 90.00
_cell_angle_beta 90.00
_cell_angle_gamma 90.00
loop_
_atom_site_label
_atom_site_type_symbol
_atom_site_fract_x
_atom_site_fract_y
_atom_site_fract_z
_atom_site_occupancy
Gd1 Gd 0.0000 0.0000 0.0000 1
Mg1 Mg 0.0000 0.0000 0.5000 1
Ru1 Ru 0.5000 0.5000 0.2843 1
# Formation energy from the elements in meV per atom: 13

11.
# GdMgRu2, optimized geometry, DFT PBE
data_GdMgRu2
_chemical_formula_sum 'Gd1 Mg1 Ru2'
_space_group_name_H-M_alt 'P 4/m m m'
_space_group_IT_number 123
_space_group_name_Hall '-P 4 2'
_cell_length_a 4.5566
_cell_length_b 4.5566
_cell_length_c 3.4334
_cell_angle_alpha 90.00
_cell_angle_beta 90.00
_cell_angle_gamma 90.00
loop_
_atom_site_label
_atom_site_type_symbol
_atom_site_fract_x
_atom_site_fract_y
_atom_site_fract_z
_atom_site_occupancy
Gd1 Gd 0.0000 0.0000 0.0000 1
Mg1 Mg 0.5000 0.5000 0.0000 1
Ru1 Ru 0.0000 0.5000 0.5000 1
# Formation energy from the elements in meV per atom: -3

12.
# SmGdMgRu, optimized geometry, DFT PBE
data_SmGdMgRu
_chemical_formula_sum 'Sm4 Gd4 Mg4 Ru4'
_space_group_name_H-M_alt 'F -4 3 m'
_space_group_IT_number 216
_space_group_name_Hall 'F -4 2 3'
_cell_length_a 7.2043
_cell_length_b 7.2043
_cell_length_c 7.2043
_cell_angle_alpha 90.00
_cell_angle_beta 90.00
_cell_angle_gamma 90.00
loop_
_atom_site_label
_atom_site_type_symbol
_atom_site_fract_x
_atom_site_fract_y
_atom_site_fract_z
_atom_site_occupancy
Sm1 Sm 0.0000 0.0000 0.0000 1
Gd1 Gd 0.0000 0.0000 0.5000 1
Mg1 Mg 0.2500 0.2500 0.7500 1
Ru1 Ru 0.2500 0.2500 0.2500 1
# Formation energy from the elements in meV per atom: -134

13.
# GdMgSnRu, optimized geometry, DFT PBE
data_GdMgSnRu
_chemical_formula_sum 'Gd4 Mg4 Sn4 Ru4'
_space_group_name_H-M_alt 'F -4 3 m'
_space_group_IT_number 216
_space_group_name_Hall 'F -4 2 3'
_cell_length_a 6.8548
_cell_length_b 6.8548
_cell_length_c 6.8548
_cell_angle_alpha 90.00
_cell_angle_beta 90.00
_cell_angle_gamma 90.00
loop_
_atom_site_label
_atom_site_type_symbol
_atom_site_fract_x
_atom_site_fract_y
_atom_site_fract_z
_atom_site_occupancy
Gd1 Gd 0.0000 0.0000 0.0000 1
Mg1 Mg 0.2500 0.2500 0.7500 1
Sn1 Sn 0.2500 0.2500 0.2500 1
Ru1 Ru 0.0000 0.0000 0.5000 1
# Formation energy from the elements in meV per atom: -218

14.
# GdTmMgRu, optimized geometry, DFT PBE
data_GdTmMgRu
_chemical_formula_sum 'Gd4 Tm4 Mg4 Ru4'
_space_group_name_H-M_alt 'F -4 3 m'
_space_group_IT_number 216
_space_group_name_Hall 'F -4 2 3'
_cell_length_a 7.0849
_cell_length_b 7.0849
_cell_length_c 7.0849
_cell_angle_alpha 90.00
_cell_angle_beta 90.00
_cell_angle_gamma 90.00
loop_
_atom_site_label
_atom_site_type_symbol
_atom_site_fract_x
_atom_site_fract_y
_atom_site_fract_z
_atom_site_occupancy
Gd1 Gd 0.0000 0.0000 0.0000 1
Tm1 Tm 0.0000 0.0000 0.5000 1
Mg1 Mg 0.2500 0.2500 0.2500 1
Ru1 Ru 0.2500 0.2500 0.7500 1
# Formation energy from the elements in meV per atom: -195

15.
# GdMgZnRu, optimized geometry, DFT PBE
data_GdMgZnRu
_chemical_formula_sum 'Gd4 Mg4 Zn4 Ru4'
_space_group_name_H-M_alt 'F -4 3 m'
_space_group_IT_number 216
_space_group_name_Hall 'F -4 2 3'
_cell_length_a 6.7362
_cell_length_b 6.7362
_cell_length_c 6.7362
_cell_angle_alpha 90.00
_cell_angle_beta 90.00
_cell_angle_gamma 90.00
loop_
_atom_site_label
_atom_site_type_symbol
_atom_site_fract_x
_atom_site_fract_y
_atom_site_fract_z
_atom_site_occupancy
Gd1 Gd 0.0000 0.0000 0.0000 1
Mg1 Mg 0.0000 0.0000 0.5000 1
Zn1 Zn 0.2500 0.2500 0.7500 1
Ru1 Ru 0.2500 0.2500 0.2500 1
# Formation energy from the elements in meV per atom: -129

16.
# GdMgZrRu, optimized geometry, DFT PBE
data_GdMgZrRu
_chemical_formula_sum 'Gd4 Mg4 Zr4 Ru4'
_space_group_name_H-M_alt 'F -4 3 m'
_space_group_IT_number 216
_space_group_name_Hall 'F -4 2 3'
_cell_length_a 6.9534
_cell_length_b 6.9534
_cell_length_c 6.9534
_cell_angle_alpha 90.00
_cell_angle_beta 90.00
_cell_angle_gamma 90.00
loop_
_atom_site_label
_atom_site_type_symbol
_atom_site_fract_x
_atom_site_fract_y
_atom_site_fract_z
_atom_site_occupancy
Gd1 Gd 0.0000 0.0000 0.0000 1
Mg1 Mg 0.2500 0.2500 0.2500 1
Zr1 Zr 0.0000 0.0000 0.5000 1
Ru1 Ru 0.2500 0.2500 0.7500 1
# Formation energy from the elements in meV per atom: -121

17.
# Gd2MgS, optimized geometry, DFT PBE
data_Gd2MgS
_chemical_formula_sum 'Gd6 Mg3 S3'
_space_group_name_H-M_alt 'R -3 m'
_space_group_IT_number 166
_space_group_name_Hall '-R 3 2"'
_cell_length_a 3.7097
_cell_length_b 3.7097
_cell_length_c 29.8380
_cell_angle_alpha 90.00
_cell_angle_beta 90.00
_cell_angle_gamma 120.00
loop_
_atom_site_label
_atom_site_type_symbol
_atom_site_fract_x
_atom_site_fract_y
_atom_site_fract_z
_atom_site_occupancy
Gd1 Gd 0.0000 0.0000 0.1112 1
Mg1 Mg 0.0000 0.0000 0.0000 1
S1 S 0.0000 0.0000 0.5000 1
# ΔE_f (raw) in meV/atom: -708

18.
# GdMgSb2, optimized geometry, DFT PBE
data_GdMgSb2
_chemical_formula_sum 'Gd3 Mg3 Sb6'
_space_group_name_H-M_alt 'R -3 m'
_space_group_IT_number 166
_space_group_name_Hall '-R 3 2"'
_cell_length_a 4.4552
_cell_length_b 4.4552
_cell_length_c 20.1619
_cell_angle_alpha 90.00
_cell_angle_beta 90.00
_cell_angle_gamma 120.00
loop_
_atom_site_label
_atom_site_type_symbol
_atom_site_fract_x
_atom_site_fract_y
_atom_site_fract_z
_atom_site_occupancy
Gd1 Gd 0.0000 0.0000 0.0000 1
Mg1 Mg 0.0000 0.0000 0.5000 1
Sb1 Sb 0.0000 0.0000 0.2459 1
# ΔE_f (raw) in meV/atom: -576

19.
# GdMgSb2, optimized geometry, DFT PBE
data_GdMgSb2
_chemical_formula_sum 'Gd1 Mg1 Sb2'
_space_group_name_H-M_alt 'P 4/m m m'
_space_group_IT_number 123
_space_group_name_Hall '-P 4 2'
_cell_length_a 4.9772
_cell_length_b 4.9772
_cell_length_c 4.1627
_cell_angle_alpha 90.00
_cell_angle_beta 90.00
_cell_angle_gamma 90.00
loop_
_atom_site_label
_atom_site_type_symbol
_atom_site_fract_x
_atom_site_fract_y
_atom_site_fract_z
_atom_site_occupancy
Gd1 Gd 0.0000 0.0000 0.0000 1
Mg1 Mg 0.5000 0.5000 0.0000 1
Sb1 Sb 0.0000 0.5000 0.5000 1
# ΔE_f (raw) in meV/atom: -605

20.
# GdMgSb, optimized geometry, DFT PBE
data_GdMgSb
_chemical_formula_sum 'Gd1 Mg1 Sb1'
_space_group_name_H-M_alt 'P -6 m 2'
_space_group_IT_number 187
_space_group_name_Hall 'P -6 2'
_cell_length_a 4.7267
_cell_length_b 4.7267
_cell_length_c 4.0335
_cell_angle_alpha 90.00
_cell_angle_beta 90.00
_cell_angle_gamma 120.00
loop_
_atom_site_label
_atom_site_type_symbol
_atom_site_fract_x
_atom_site_fract_y
_atom_site_fract_z
_atom_site_occupancy
Gd1 Gd 0.0000 0.0000 0.0000 1
Mg1 Mg 0.3333 0.6667 0.5000 1
Sb1 Sb 0.6667 0.3333 0.5000 1
# ΔE_f (raw) in meV/atom: -559